Record 1
The following is a DFT calculation (SCAN) of a crystal of SrYAl2 relaxed with PBEsol.

Results
- Volume: 106.3 Å³/cell
- E: -16.288 eV per atom
- ΔE to the lowest computed polymorph: 386 meV per atom
- Space group: No. 25
- ΔH_f (0 K): 0.1179 eV/atom
- Total moment: 0.0 μB/f.u.

Unit cell a=3.515 b=4.559 c=6.636 alpha=90.00 beta=90.00 gamma=90.00
Element x y z (fractional)
Sr: 0.000 0.000 0.000
Y: 0.500 0.500 0.328
Al: 0.000 0.000 0.513
Al: 0.500 0.500 0.765

***

Record 2
The following is a DFT calculation (SCAN) of a crystal of SrYAl2 relaxed with PBEsol.

Results
- Volume: 402.7 Å³/cell
- E: -16.192 eV per atom
- ΔE to the lowest computed polymorph: 482 meV per atom
- Space group: No. 216
- ΔH_f (0 K): 0.2139 eV/atom
- Total moment: 2.0 μB/f.u.

Unit cell a=7.385 b=7.385 c=7.385 alpha=90.00 beta=90.00 gamma=90.00
Element x y z (fractional)
Sr: 0.000 0.000 0.000
Sr: 0.000 0.500 0.500
Sr: 0.500 0.000 0.500
Sr: 0.500 0.500 0.000
Y: 0.250 0.250 0.750
Y: 0.250 0.750 0.250
Y: 0.750 0.250 0.250
Y: 0.750 0.750 0.750
Al: 0.000 0.000 0.500
Al: 0.000 0.500 0.000
Al: 0.250 0.250 0.250
Al: 0.250 0.750 0.750
Al: 0.500 0.000 0.000
Al: 0.500 0.500 0.500
Al: 0.750 0.250 0.750
Al: 0.750 0.750 0.250

***

Record 3
The following is a DFT calculation (SCAN) of a crystal of SrYAl4 relaxed with PBEsol.

Results
- Volume: 127.3 Å³/cell
- E: -13.897 eV per atom
- Space group: No. 216
- ΔH_f (0 K): -0.3760 eV/atom
- Total moment: 0.1 μB/f.u.

Unit cell a=5.646 b=5.646 c=5.646 alpha=60.00 beta=60.00 gamma=60.00
Element x y z (fractional)
Sr: 0.000 0.000 0.000
Y: 0.250 0.250 0.250
Al: 0.127 0.624 0.624
Al: 0.624 0.127 0.624
Al: 0.624 0.624 0.127
Al: 0.624 0.624 0.624

***

Record 4
The following is a DFT calculation (SCAN) of a crystal of SrYAl2 relaxed with PBEsol.

Results
- Volume: 350.0 Å³/cell
- E: -16.584 eV per atom
- ΔE to the lowest computed polymorph: 90 meV per atom
- Space group: No. 160
- ΔH_f (0 K): -0.1785 eV/atom
- Total moment: 0.4 μB/f.u.

Unit cell a=4.473 b=4.473 c=20.197 alpha=90.00 beta=90.00 gamma=120.00
Element x y z (fractional)
Sr: 0.000 0.000 0.000
Sr: 0.333 0.667 0.667
Sr: 0.667 0.333 0.333
Y: 0.000 0.000 0.803
Y: 0.333 0.667 0.470
Y: 0.667 0.333 0.136
Al: 0.000 0.000 0.209
Al: 0.000 0.000 0.559
Al: 0.333 0.667 0.226
Al: 0.333 0.667 0.875
Al: 0.667 0.333 0.542
Al: 0.667 0.333 0.893

***

Record 5
The following is a DFT calculation (SCAN) of a crystal of Sr2YAl relaxed with PBEsol.

Results
- Volume: 254.9 Å³/cell
- E: -19.911 eV per atom
- Space group: No. 139
- ΔH_f (0 K): 0.1253 eV/atom
- Total moment: 0.0 μB/f.u.

Unit cell a=4.944 b=4.944 c=10.428 alpha=90.00 beta=90.00 gamma=90.00
Element x y z (fractional)
Sr: 0.000 0.500 0.250
Sr: 0.000 0.500 0.750
Sr: 0.500 0.000 0.250
Sr: 0.500 0.000 0.750
Y: 0.000 0.000 0.000
Y: 0.500 0.500 0.500
Al: 0.000 0.000 0.500
Al: 0.500 0.500 0.000

***

Record 6
The following is a DFT calculation (SCAN) of a crystal of SrY2Al relaxed with PBEsol.

Results
- Volume: 243.1 Å³/cell
- E: -21.508 eV per atom
- Space group: No. 71
- ΔH_f (0 K): -0.0796 eV/atom
- Total moment: 0.0 μB/f.u.

Unit cell a=3.669 b=5.610 c=11.812 alpha=90.00 beta=90.00 gamma=90.00
Element x y z (fractional)
Sr: 0.000 0.000 0.000
Sr: 0.500 0.500 0.500
Y: 0.000 0.500 0.209
Y: 0.000 0.500 0.791
Y: 0.500 0.000 0.291
Y: 0.500 0.000 0.709
Al: 0.000 0.000 0.500
Al: 0.500 0.500 0.000

***

Record 7
The following is a DFT calculation (SCAN) of a crystal of SrYAl2 relaxed with PBEsol.

Results
- Volume: 103.4 Å³/cell
- E: -16.674 eV per atom
- ΔE to the lowest computed polymorph: 0 meV per atom
- Space group: No. 123
- ΔH_f (0 K): -0.2681 eV/atom
- Total moment: 0.1 μB/f.u.

Unit cell a=3.748 b=3.748 c=7.361 alpha=90.00 beta=90.00 gamma=90.00
Element x y z (fractional)
Sr: 0.000 0.000 0.000
Y: 0.000 0.000 0.500
Al: 0.500 0.500 0.288
Al: 0.500 0.500 0.712

***

Record 8
The following is a DFT calculation (SCAN) of a crystal of Sr2AlZn relaxed with PBEsol.

Results
- Volume: 115.6 Å³/cell
- E: -16.601 eV per atom
- Space group: No. 25
- ΔH_f (0 K): -0.1466 eV/atom
- Total moment: 0.0 μB/f.u.

Unit cell a=3.783 b=5.500 c=5.555 alpha=90.00 beta=90.00 gamma=90.00
Element x y z (fractional)
Sr: 0.000 0.000 0.000
Sr: 0.000 0.500 0.473
Al: 0.500 0.500 0.961
Zn: 0.500 0.000 0.521

***

Record 9
The following is a DFT calculation (SCAN) of a crystal of Sr2AlZn relaxed with PBEsol.

Results
- Volume: 115.2 Å³/cell
- E: -16.600 eV per atom
- Space group: No. 123
- ΔH_f (0 K): -0.1459 eV/atom
- Total moment: 0.0 μB/f.u.

Unit cell a=3.835 b=3.835 c=7.829 alpha=90.00 beta=90.00 gamma=90.00
Element x y z (fractional)
Sr: 0.000 0.000 0.245
Sr: 0.000 0.000 0.755
Al: 0.500 0.500 0.500
Zn: 0.500 0.500 0.000

***

Record 10
The following is a DFT calculation (SCAN) of a crystal of Sr2AlZn relaxed with PBEsol.

Results
- Volume: 225.0 Å³/cell
- E: -16.608 eV per atom
- Space group: No. 44
- ΔH_f (0 K): -0.1538 eV/atom
- Total moment: 0.0 μB/f.u.

Unit cell a=3.763 b=5.438 c=10.994 alpha=90.00 beta=90.00 gamma=90.00
Element x y z (fractional)
Sr: 0.000 0.000 0.000
Sr: 0.000 0.500 0.195
Sr: 0.500 0.000 0.695
Sr: 0.500 0.500 0.500
Al: 0.000 0.000 0.419
Al: 0.500 0.500 0.919
Zn: 0.000 0.500 0.756
Zn: 0.500 0.000 0.256

***

Record 11
The following is a DFT calculation (SCAN) of a crystal of Sr2ZrAl relaxed with PBEsol.

Results
- Volume: 226.5 Å³/cell
- E: -20.386 eV per atom
- Space group: No. 119
- ΔH_f (0 K): 0.3641 eV/atom
- Total moment: 2.7 μB/f.u.

Unit cell a=5.146 b=5.146 c=8.553 alpha=90.00 beta=90.00 gamma=90.00
Element x y z (fractional)
Sr: 0.000 0.000 0.000
Sr: 0.000 0.500 0.250
Sr: 0.500 0.000 0.750
Sr: 0.500 0.500 0.500
Zr: 0.000 0.000 0.500
Zr: 0.500 0.500 0.000
Al: 0.000 0.500 0.750
Al: 0.500 0.000 0.250

***

Record 12
The following is a DFT calculation (SCAN) of a crystal of Sr2ZrAl relaxed with PBEsol.

Results
- Volume: 116.1 Å³/cell
- E: -20.364 eV per atom
- Space group: No. 47
- ΔH_f (0 K): 0.3859 eV/atom
- Total moment: 0.0 μB/f.u.

Unit cell a=3.444 b=5.126 c=6.578 alpha=90.00 beta=90.00 gamma=90.00
Element x y z (fractional)
Sr: 0.000 0.000 0.243
Sr: 0.000 0.000 0.757
Zr: 0.500 0.500 0.500
Al: 0.500 0.500 0.000

***

Record 13
The following is a DFT calculation (SCAN) of a crystal of SrZr3Al relaxed with PBEsol.

Results
- Volume: 124.4 Å³/cell
- E: -22.570 eV per atom
- Space group: No. 221
- ΔH_f (0 K): 1.8544 eV/atom
- Total moment: 2.0 μB/f.u.

Unit cell a=4.991 b=4.991 c=4.991 alpha=90.00 beta=90.00 gamma=90.00
Element x y z (fractional)
Sr: 0.000 0.000 0.000
Zr: 0.000 0.000 0.500
Zr: 0.000 0.500 0.000
Zr: 0.500 0.000 0.000
Al: 0.500 0.500 0.500

***

Record 14
The following is a DFT calculation (SCAN) of a crystal of SrZr2Al relaxed with PBEsol.

Results
- Volume: 190.3 Å³/cell
- E: -22.506 eV per atom
- Space group: No. 12
- ΔH_f (0 K): 0.3497 eV/atom
- Total moment: 0.0 μB/f.u.

Unit cell a=6.353 b=10.757 c=3.117 alpha=90.00 beta=116.69 gamma=90.00
Element x y z (fractional)
Sr: 0.000 0.000 0.000
Sr: 0.500 0.500 0.000
Zr: 0.250 0.250 0.500
Zr: 0.250 0.750 0.500
Zr: 0.750 0.250 0.500
Zr: 0.750 0.750 0.500
Al: 0.000 0.500 0.000
Al: 0.500 0.000 0.000

***

Record 15
The following is a DFT calculation (SCAN) of a crystal of Ta2Al relaxed with PBEsol.

Results
- Volume: 500.3 Å³/cell
- E: -47.244 eV per atom
- Space group: No. 136
- ΔH_f (0 K): -0.2713 eV/atom
- Total moment: 0.0 μB/f.u.

Unit cell a=9.845 b=9.845 c=5.162 alpha=90.00 beta=90.00 gamma=90.00
Element x y z (fractional)
Ta: 0.036 0.371 0.000
Ta: 0.102 0.102 0.000
Ta: 0.129 0.536 0.500
Ta: 0.182 0.818 0.248
Ta: 0.182 0.818 0.752
Ta: 0.318 0.318 0.252
Ta: 0.318 0.318 0.748
Ta: 0.371 0.036 0.000
Ta: 0.398 0.602 0.500
Ta: 0.464 0.871 0.500
Ta: 0.536 0.129 0.500
Ta: 0.602 0.398 0.500
Ta: 0.629 0.964 0.000
Ta: 0.682 0.682 0.252
Ta: 0.682 0.682 0.748
Ta: 0.818 0.182 0.248
Ta: 0.818 0.182 0.752
Ta: 0.871 0.464 0.500
Ta: 0.898 0.898 0.000
Ta: 0.964 0.629 0.000
Al: 0.000 0.000 0.500
Al: 0.066 0.263 0.500
Al: 0.237 0.566 0.000
Al: 0.263 0.066 0.500
Al: 0.434 0.763 0.000
Al: 0.500 0.500 0.000
Al: 0.566 0.237 0.000
Al: 0.737 0.934 0.500
Al: 0.763 0.434 0.000
Al: 0.934 0.737 0.500

***

Record 16
The following is a DFT calculation (SCAN) of a crystal of Ta5Al3 relaxed with PBEsol.

Results
- Volume: 267.0 Å³/cell
- E: -44.740 eV per atom
- ΔE to the lowest computed polymorph: 10 meV per atom
- Space group: No. 140
- ΔH_f (0 K): -0.2186 eV/atom
- Total moment: 0.0 μB/f.u.

Unit cell a=7.685 b=7.685 c=7.685 alpha=96.25 beta=96.25 gamma=141.46
Element x y z (fractional)
Ta: 0.075 0.777 0.852
Ta: 0.223 0.075 0.298
Ta: 0.250 0.750 0.500
Ta: 0.277 0.575 0.852
Ta: 0.425 0.277 0.702
Ta: 0.575 0.723 0.298
Ta: 0.723 0.425 0.148
Ta: 0.750 0.250 0.500
Ta: 0.777 0.925 0.702
Ta: 0.925 0.223 0.148
Al: 0.166 0.334 0.500
Al: 0.250 0.250 0.000
Al: 0.334 0.834 0.168
Al: 0.666 0.166 0.832
Al: 0.750 0.750 0.000
Al: 0.834 0.666 0.500

***

Record 17
The following is a DFT calculation (SCAN) of a crystal of TaAl2 relaxed with PBEsol.

Results
- Volume: 192.5 Å³/cell
- E: -27.629 eV per atom
- Space group: No. 63
- ΔH_f (0 K): -0.2663 eV/atom
- Total moment: 0.0 μB/f.u.

Unit cell a=3.885 b=13.167 c=3.763 alpha=90.00 beta=90.00 gamma=90.00
Element x y z (fractional)
Ta: 0.000 0.086 0.250
Ta: 0.000 0.914 0.750
Ta: 0.500 0.414 0.750
Ta: 0.500 0.586 0.250
Al: 0.000 0.250 0.750
Al: 0.000 0.424 0.250
Al: 0.000 0.576 0.750
Al: 0.000 0.750 0.250
Al: 0.500 0.076 0.750
Al: 0.500 0.250 0.250
Al: 0.500 0.750 0.750
Al: 0.500 0.924 0.250

***

Record 18
The following is a DFT calculation (SCAN) of a crystal of Ta5Al3 relaxed with PBEsol.

Results
- Volume: 267.7 Å³/cell
- E: -44.750 eV per atom
- ΔE to the lowest computed polymorph: 0 meV per atom
- Space group: No. 65
- ΔH_f (0 K): -0.2288 eV/atom
- Total moment: 0.0 μB/f.u.

Unit cell a=8.567 b=8.690 c=3.595 alpha=90.00 beta=90.00 gamma=90.00
Element x y z (fractional)
Ta: 0.000 0.000 0.000
Ta: 0.245 0.500 0.500
Ta: 0.250 0.250 0.000
Ta: 0.250 0.750 0.000
Ta: 0.255 0.000 0.500
Ta: 0.500 0.500 0.000
Ta: 0.745 0.000 0.500
Ta: 0.750 0.250 0.000
Ta: 0.750 0.750 0.000
Ta: 0.755 0.500 0.500
Al: 0.000 0.249 0.500
Al: 0.000 0.500 0.000
Al: 0.000 0.751 0.500
Al: 0.500 0.000 0.000
Al: 0.500 0.251 0.500
Al: 0.500 0.749 0.500

***

Record 19
The following is a DFT calculation (SCAN) of a crystal of Ta2Al relaxed with PBEsol.

Results
- Volume: 201.8 Å³/cell
- E: -47.185 eV per atom
- Space group: No. 141
- ΔH_f (0 K): -0.2126 eV/atom
- Total moment: 0.0 μB/f.u.

Unit cell a=13.228 b=13.228 c=13.228 alpha=162.82 beta=162.82 gamma=24.38
Element x y z (fractional)
Ta: 0.040 0.790 0.250
Ta: 0.124 0.374 0.750
Ta: 0.210 0.960 0.250
Ta: 0.374 0.124 0.250
Ta: 0.626 0.876 0.750
Ta: 0.790 0.040 0.750
Ta: 0.876 0.626 0.250
Ta: 0.960 0.210 0.750
Al: 0.293 0.543 0.750
Al: 0.457 0.707 0.750
Al: 0.543 0.293 0.250
Al: 0.707 0.457 0.250

***

Record 20
The following is a DFT calculation (SCAN) of a crystal of TaAl2 relaxed with PBEsol.

Results
- Volume: 189.7 Å³/cell
- E: -27.603 eV per atom
- Space group: No. 141
- ΔH_f (0 K): -0.2410 eV/atom
- Total moment: 0.0 μB/f.u.

Unit cell a=12.590 b=12.590 c=12.590 alpha=162.04 beta=162.04 gamma=25.51
Element x y z (fractional)
Ta: 0.298 0.548 0.750
Ta: 0.452 0.702 0.750
Ta: 0.548 0.298 0.250
Ta: 0.702 0.452 0.250
Al: 0.037 0.787 0.250
Al: 0.124 0.374 0.750
Al: 0.213 0.963 0.250
Al: 0.374 0.124 0.250
Al: 0.626 0.876 0.750
Al: 0.787 0.037 0.750
Al: 0.876 0.626 0.250
Al: 0.963 0.213 0.750

***

Record 21
The following is a DFT calculation (SCAN) of a crystal of Ta5Al4 relaxed with PBEsol.

Results
- Volume: 296.7 Å³/cell
- E: -40.639 eV per atom
- Space group: No. 193
- ΔH_f (0 K): -0.2029 eV/atom
- Total moment: 0.0 μB/f.u.

Unit cell a=7.948 b=7.948 c=5.422 alpha=90.00 beta=90.00 gamma=120.00
Element x y z (fractional)
Ta: 0.000 0.282 0.250
Ta: 0.000 0.718 0.750
Ta: 0.282 0.000 0.250
Ta: 0.282 0.282 0.750
Ta: 0.333 0.667 0.000
Ta: 0.333 0.667 0.500
Ta: 0.667 0.333 0.000
Ta: 0.667 0.333 0.500
Ta: 0.718 0.000 0.750
Ta: 0.718 0.718 0.250
Al: 0.000 0.000 0.000
Al: 0.000 0.000 0.500
Al: 0.000 0.384 0.750
Al: 0.000 0.616 0.250
Al: 0.384 0.000 0.750
Al: 0.384 0.384 0.250
Al: 0.616 0.000 0.250
Al: 0.616 0.616 0.750

***

Record 22
The following is a DFT calculation (SCAN) of a crystal of TaAl relaxed with PBEsol.

Results
- Volume: 91.0 Å³/cell
- E: -35.977 eV per atom
- Space group: No. 194
- ΔH_f (0 K): 1.1911 eV/atom
- Total moment: 0.0 μB/f.u.

Unit cell a=4.527 b=4.527 c=5.130 alpha=90.00 beta=90.00 gamma=120.00
Element x y z (fractional)
Ta: 0.333 0.667 0.250
Ta: 0.667 0.333 0.750
Al: 0.333 0.667 0.750
Al: 0.667 0.333 0.250

***

Record 23
The following is a DFT calculation (SCAN) of a crystal of TaAl relaxed with PBEsol.

Results
- Volume: 131.5 Å³/cell
- E: -37.374 eV per atom
- Space group: No. 141
- ΔH_f (0 K): -0.2064 eV/atom
- Total moment: 0.0 μB/f.u.

Unit cell a=3.912 b=3.912 c=8.592 alpha=90.00 beta=90.00 gamma=90.00
Element x y z (fractional)
Ta: 0.000 0.250 0.375
Ta: 0.000 0.750 0.625
Ta: 0.500 0.250 0.125
Ta: 0.500 0.750 0.875
Al: 0.000 0.250 0.875
Al: 0.000 0.750 0.125
Al: 0.500 0.250 0.625
Al: 0.500 0.750 0.375

***

Record 24
The following is a DFT calculation (SCAN) of a crystal of Ta3Al relaxed with PBEsol.

Results
- Volume: 272.2 Å³/cell
- E: -52.048 eV per atom
- Space group: No. 63
- ΔH_f (0 K): -0.1728 eV/atom
- Total moment: 0.0 μB/f.u.

Unit cell a=6.160 b=9.496 c=4.654 alpha=90.00 beta=90.00 gamma=90.00
Element x y z (fractional)
Ta: 0.000 0.134 0.250
Ta: 0.000 0.866 0.750
Ta: 0.239 0.393 0.250
Ta: 0.239 0.607 0.750
Ta: 0.261 0.107 0.750
Ta: 0.261 0.893 0.250
Ta: 0.500 0.366 0.750
Ta: 0.500 0.634 0.250
Ta: 0.739 0.107 0.750
Ta: 0.739 0.893 0.250
Ta: 0.761 0.393 0.250
Ta: 0.761 0.607 0.750
Al: 0.000 0.343 0.750
Al: 0.000 0.657 0.250
Al: 0.500 0.157 0.250
Al: 0.500 0.843 0.750

***

Record 25
The following is a DFT calculation (SCAN) of a crystal of Ta2Al relaxed with PBEsol.

Results
- Volume: 202.7 Å³/cell
- E: -47.158 eV per atom
- Space group: No. 62
- ΔH_f (0 K): -0.1849 eV/atom
- Total moment: 0.0 μB/f.u.

Unit cell a=6.056 b=3.631 c=9.216 alpha=90.00 beta=90.00 gamma=90.00
Element x y z (fractional)
Ta: 0.111 0.250 0.243
Ta: 0.130 0.250 0.584
Ta: 0.370 0.750 0.084
Ta: 0.389 0.750 0.743
Ta: 0.611 0.250 0.257
Ta: 0.630 0.250 0.916
Ta: 0.870 0.750 0.416
Ta: 0.889 0.750 0.757
Al: 0.138 0.250 0.915
Al: 0.362 0.750 0.415
Al: 0.638 0.250 0.585
Al: 0.862 0.750 0.085